{
  "formula": "TeRu",
  "functional": "GGA-PBE",
  "state": "relaxed",
  "e_tot_ev_per_cell": -11.7,
  "sg": "P-6m2 (187)",
  "formation_energy_uncorrected_mev_per_atom": 355,
  "mass_density_g_cm3": 9.33,
  "crystal_system": "hexagonal",
  "lattice_angstrom": [[3.853, 0.000, 0.000], [-1.926, 3.337, 0.000], [0.000, 0.000, 3.165]],
  "species": ["Ru", "Te"],
  "frac_coords": [[0.000, 0.000, 0.000], [0.667, 0.333, 0.500]]
}



{
  "formula": "TiCr3Cl",
  "functional": "GGA-PBE",
  "state": "relaxed",
  "e_tot_ev_per_cell": -35.1,
  "sg": "Pm-3m (221)",
  "polymorph_energy_mev_per_atom": 0.0,
  "formation_energy_uncorrected_mev_per_atom": 696,
  "mass_density_g_cm3": 5.60,
  "crystal_system": "cubic",
  "lattice_angstrom": [[4.140, 0.000, 0.000], [0.000, 4.140, 0.000], [0.000, 0.000, 4.140]],
  "species": ["Cr", "Cr", "Cr", "Cl", "Ti"],
  "frac_coords": [[0.000, 0.500, 0.000], [0.000, 0.000, 0.500], [0.500, 0.000, 0.000], [0.000, 0.000, 0.000], [0.500, 0.500, 0.500]]
}



{
  "formula": "KMgBeSe",
  "functional": "GGA-PBE",
  "state": "relaxed",
  "e_tot_ev_per_cell": -21.4,
  "sg": "Cm (8)",
  "polymorph_energy_mev_per_atom": 78.3,
  "formation_energy_uncorrected_mev_per_atom": -200,
  "mass_density_g_cm3": 2.52,
  "crystal_system": "monoclinic",
  "lattice_angstrom": [[8.776, 0.000, 0.009], [0.000, 3.686, 0.000], [-1.473, 0.000, 6.168]],
  "species": ["Be", "Be", "K", "K", "Mg", "Mg", "Se", "Se"],
  "frac_coords": [[0.085, 0.000, 0.927], [0.085, 0.500, 0.427], [0.689, 0.000, 0.129], [0.689, 0.500, 0.629], [0.321, 0.000, 0.338], [0.321, 0.500, 0.838], [0.993, 0.000, 0.563], [0.993, 0.500, 0.063]]
}



{
  "formula": "ErMgAg3",
  "functional": "GGA-PBE",
  "state": "relaxed",
  "e_tot_ev_per_cell": -31.0,
  "sg": "P2_1/m (11)",
  "mass_density_g_cm3": 8.12,
  "ef_ev_per_atom": -0.15,
  "crystal_system": "monoclinic",
  "lattice_angstrom": [[4.799, 0.000, 1.004], [0.000, 6.476, 0.000], [1.164, 0.000, 7.026]],
  "species": ["Er", "Er", "Mg", "Mg", "Ag", "Ag", "Ag", "Ag", "Ag", "Ag"],
  "frac_coords": [[0.612, 0.750, 0.265], [0.388, 0.250, 0.735], [0.348, 0.750, 0.796], [0.652, 0.250, 0.204], [0.181, 0.003, 0.135], [0.819, 0.997, 0.865], [0.181, 0.497, 0.135], [0.819, 0.503, 0.865], [0.979, 0.750, 0.516], [0.021, 0.250, 0.484]]
}